Entry 1:
Entry from the Alexandria database: a relaxed structure of Ca3Ac2Hg4 (PBE-GGA).

Cell: 10.2156 10.2156 8.3065 Å, 90.00 90.00 138.25°
Closest atoms and distances in Å follow each position.
Fractional coordinates of all 18 atoms:
1 Ca 0.0000 0.0000 0.0000  6 Hg 3.02-3.15
2 Ca 0.0190 0.4810 0.2500  5 Hg 3.19-3.24
3 Ca 0.4810 0.0190 0.7500  5 Hg 3.19-3.24
4 Ca 0.5000 0.5000 0.5000  6 Hg 3.02-3.15
5 Ca 0.5190 0.9810 0.2500  5 Hg 3.19-3.24
6 Ca 0.9810 0.5190 0.7500  5 Hg 3.19-3.24
7 Ac 0.0977 0.9023 0.4130  3 Hg 3.39-3.40
8 Ac 0.4023 0.5977 0.9130  3 Hg 3.39-3.40
9 Ac 0.5977 0.4023 0.0870  3 Hg 3.39-3.40
10 Ac 0.9023 0.0977 0.5870  3 Hg 3.39-3.40
11 Hg 0.1645 0.8355 0.0350  5 Ca 3.15-3.24, 1 Ac 3.39
12 Hg 0.1861 0.3139 0.2500  3 Ca 3.02-3.19
13 Hg 0.3139 0.1861 0.7500  3 Ca 3.02-3.19
14 Hg 0.3355 0.6645 0.5350  5 Ca 3.15-3.24, 1 Ac 3.39
15 Hg 0.6645 0.3355 0.4650  5 Ca 3.15-3.24, 1 Ac 3.39
16 Hg 0.6861 0.8139 0.2500  3 Ca 3.02-3.19
17 Hg 0.8139 0.6861 0.7500  3 Ca 3.02-3.19
18 Hg 0.8355 0.1645 0.9650  5 Ca 3.15-3.24, 1 Ac 3.39

Summary:
Symmetry: Cmce
E above lowest polymorph: 54 meV/atom
Total magnetic moment: 0.00 μB per formula unit
Energy of formation from the pure elements: -0.3895 eV/atom
N(E_F): 20.8 states/eV per cell

Entry 2:
Entry from the Alexandria database: a relaxed structure of SmBiPt2 (PBE-GGA).

Cell: 4.8151 4.8151 3.7852 Å, 90.00 90.00 90.00°
Closest atoms and distances in Å follow each position.
Fractional coordinates of all 4 atoms:
1 Sm 0.0000 0.0000 0.0000  8 Pt 3.06, 4 Bi 3.40
2 Bi 0.5000 0.5000 0.0000  8 Pt 3.06, 4 Sm 3.40
3 Pt 0.0000 0.5000 0.5000  4 Sm 3.06, 4 Bi 3.06, 4 Pt 3.40
4 Pt 0.5000 0.0000 0.5000  4 Sm 3.06, 4 Bi 3.06, 4 Pt 3.40

Summary:
Symmetry: P4/mmm
Total magnetic moment: 0.00 μB per formula unit
Energy of formation from the pure elements: -0.6857 eV/atom
N(E_F): 1.6 states/eV per cell

Entry 3:
Entry from the Alexandria database: a relaxed structure of Mn3TlAg (PBE-GGA).

Cell: 4.9686 4.9686 4.9686 Å, 90.00 90.00 90.00°
Closest atoms and distances in Å follow each position.
Fractional coordinates of all 5 atoms:
1 Mn 0.0000 0.0000 0.5000  2 Ag 2.48
2 Mn 0.0000 0.5000 0.0000  2 Ag 2.48
3 Mn 0.5000 0.0000 0.0000  2 Ag 2.48
4 Tl 0.5000 0.5000 0.5000  12 Mn 3.51
5 Ag 0.0000 0.0000 0.0000  6 Mn 2.48

Summary:
Symmetry: Pm-3m
E above lowest polymorph: 0 meV/atom
Total magnetic moment: 12.75 μB per formula unit
Energy of formation from the pure elements: 1.0425 eV/atom
N(E_F): 5.5 states/eV per cell

Entry 4:
Entry from the Alexandria database: a relaxed structure of Ac2SnAs (PBE-GGA).

Cell: 13.0237 13.0237 4.5497 Å, 90.00 90.00 158.94°
Closest atoms and distances in Å follow each position.
Fractional coordinates of all 8 atoms:
1 Ac 0.0695 0.9305 0.7500  1 As 3.07, 4 Sn 3.37
2 Ac 0.3110 0.6890 0.7500  5 As 3.11-3.29
3 Ac 0.6890 0.3110 0.2500  5 As 3.11-3.29
4 Ac 0.9305 0.0695 0.2500  1 As 3.07, 4 Sn 3.37
5 Sn 0.4592 0.5408 0.7500  2 Sn 3.09, 4 Ac 3.37
6 Sn 0.5408 0.4592 0.2500  2 Sn 3.09, 4 Ac 3.37
7 As 0.1894 0.8106 0.7500  6 Ac 3.07-3.29
8 As 0.8106 0.1894 0.2500  6 Ac 3.07-3.29

Summary:
Symmetry: Cmcm
E above lowest polymorph: 0 meV/atom
Total magnetic moment: 0.00 μB per formula unit
Energy of formation from the pure elements: -1.0814 eV/atom
N(E_F): 4.4 states/eV per cell